Record 1
First-principles (PBE) data for a geometry-optimized LiAlSb2I structure, as listed in Alexandria.

Unit cell a=5.276 b=5.276 c=6.061 alpha=90.00 beta=90.00 gamma=90.00
Atoms (fractional coordinates):
Li  0.000  0.000  0.000
Al  0.500  0.500  0.500
Sb  0.000  0.500  0.500
Sb  0.500  0.000  0.500
I  0.500  0.500  0.000

* E above lowest polymorph: 0.0 meV/atom
* formation energy without anion corrections: 202 meV per atom
* M_tot: 0.0000 μB/atom
* SG: P4/mmm, No. 123

Record 2
First-principles (PBE) data for a geometry-optimized LiAlSbI2 structure, as listed in Alexandria.

Unit cell a=5.796 b=5.796 c=5.334 alpha=90.00 beta=90.00 gamma=90.00
Atoms (fractional coordinates):
Li  0.000  0.000  0.000
Al  0.500  0.500  0.500
Sb  0.500  0.500  0.000
I  0.000  0.500  0.500
I  0.500  0.000  0.500

* E above lowest polymorph: 0.0 meV/atom
* formation energy without anion corrections: -38 meV per atom
* M_tot: 0.1762 μB/atom
* SG: P4/mmm, No. 123

Record 3
First-principles (PBE) data for a geometry-optimized LiAlSbI2 structure, as listed in Alexandria.

Unit cell a=5.526 b=5.526 c=5.155 alpha=90.00 beta=90.00 gamma=90.00
Atoms (fractional coordinates):
Li  0.000  0.000  0.000
Al  0.500  0.500  0.500
Sb  0.000  0.000  0.500
I  0.000  0.500  0.000
I  0.500  0.000  0.000

* E above lowest polymorph: 205.8 meV/atom
* formation energy without anion corrections: 168 meV per atom
* M_tot: 0.0000 μB/atom
* SG: P4/mmm, No. 123

Record 4
First-principles (PBE) data for a geometry-optimized LiAlTl2I structure, as listed in Alexandria.

Unit cell a=5.481 b=5.481 c=5.921 alpha=90.00 beta=90.00 gamma=90.00
Atoms (fractional coordinates):
Li  0.000  0.000  0.000
Al  0.500  0.500  0.500
Tl  0.000  0.500  0.500
Tl  0.500  0.000  0.500
I  0.500  0.500  0.000

* formation energy without anion corrections: 115 meV per atom
* M_tot: 0.0000 μB/atom
* SG: P4/mmm, No. 123

Record 5
First-principles (PBE) data for a geometry-optimized LiAlZn2I structure, as listed in Alexandria.

Unit cell a=4.872 b=4.872 c=5.859 alpha=90.00 beta=90.00 gamma=90.00
Atoms (fractional coordinates):
Li  0.000  0.000  0.000
Al  0.000  0.000  0.500
Zn  0.000  0.500  0.500
Zn  0.500  0.000  0.500
I  0.500  0.500  0.000

* formation energy without anion corrections: 103 meV per atom
* M_tot: 0.1672 μB/atom
* SG: P4/mmm, No. 123

Record 6
First-principles (PBE) data for a geometry-optimized LiZr2AlI structure, as listed in Alexandria.

Unit cell a=5.234 b=5.234 c=4.643 alpha=90.00 beta=90.00 gamma=90.00
Atoms (fractional coordinates):
Li  0.000  0.000  0.000
Zr  0.000  0.500  0.500
Zr  0.500  0.000  0.500
Al  0.000  0.000  0.500
I  0.500  0.500  0.000

* formation energy without anion corrections: 524 meV per atom
* M_tot: 0.4076 μB/atom
* SG: P4/mmm, No. 123